Arrangement A

DFT (meta-GGA SCAN) results for a crystal of SiAsCl2 relaxed with PBEsol.

a b c (Å): 3.1565 4.3109 6.7853
angles (deg): 108.52 103.45 90.00
Positions (direct):
Cl (0.7471, 0.2471, 0.4943)
As (0.2137, 0.7137, 0.4273)
Cl (0.9966, 0.9966, 0.9932)
Si (0.5425, 0.5425, 0.0850)

Calculated values
ρ (g/cm3): 3.40



Arrangement B

DFT (meta-GGA SCAN) results for a crystal of SiAsCl2 relaxed with PBEsol.

a b c (Å): 3.7318 5.4206 5.2888
angles (deg): 102.23 90.00 110.13
Positions (direct):
Cl (0.2330, 0.4660, 0.6803)
Cl (0.0150, 0.0299, 0.0482)
Si (0.4105, 0.8210, 0.5322)
As (0.8415, 0.6830, 0.2393)

Calculated values
ρ (g/cm3): 2.95



The winner here is arrangement B, beating the second structure by 450 meV/atom.



Arrangement A

DFT (meta-GGA SCAN) results for a crystal of SrAs2Cl relaxed with PBEsol.

a b c (Å): 3.8485 5.5580 5.5580
angles (deg): 64.75 69.74 69.74
Positions (direct):
As (0.9547, 0.0453, 0.0453)
Sr (0.7609, 0.7391, 0.7391)
As (0.2769, 0.2231, 0.2231)
Cl (0.5075, 0.4925, 0.4925)

Calculated values
ρ (g/cm3): 4.62



Arrangement B

DFT (meta-GGA SCAN) results for a crystal of SrAs2Cl relaxed with PBEsol.

a b c (Å): 3.7793 4.1121 6.6047
angles (deg): 98.83 90.00 90.00
Positions (direct):
As (0.0000, 0.1204, 0.0884)
Cl (0.0000, 0.5505, 0.5824)
As (0.5000, 0.7513, 0.1329)
Sr (0.5000, 0.0779, 0.6963)

Calculated values
ρ (g/cm3): 4.47



Arrangement C

DFT (meta-GGA SCAN) results for a crystal of SrAs2Cl relaxed with PBEsol.

a b c (Å): 3.9147 3.9147 6.1162
angles (deg): 90.00 90.00 90.00
Positions (direct):
Sr (0.0000, 0.0000, 0.5000)
As (0.5000, 0.0000, 0.0000)
As (0.0000, 0.5000, 0.0000)
Cl (0.5000, 0.5000, 0.5000)

Calculated values
ρ (g/cm3): 4.83



The winner here is arrangement B, beating the second structure by 108 meV/atom.



Arrangement A

DFT (meta-GGA SCAN) results for a crystal of Tc2AsCl relaxed with PBEsol.

a b c (Å): 4.2862 4.2862 4.2862
angles (deg): 60.00 60.00 60.00
Positions (direct):
Tc (0.7500, 0.7500, 0.7500)
As (0.5000, 0.5000, 0.5000)
Tc (0.2500, 0.2500, 0.2500)
Cl (0.0000, 0.0000, 0.0000)

Calculated values
ρ (g/cm3): 9.14



Arrangement B

DFT (meta-GGA SCAN) results for a crystal of Tc2AsCl relaxed with PBEsol.

a b c (Å): 2.9617 2.9730 7.9456
angles (deg): 90.00 90.00 119.87
Positions (direct):
Tc (0.0000, 0.0000, 0.7394)
Cl (0.5000, 0.0000, 0.0000)
Tc (0.0000, 0.0000, 0.2606)
As (0.5000, 0.0000, 0.5000)

Calculated values
ρ (g/cm3): 8.39



Arrangement C

DFT (meta-GGA SCAN) results for a crystal of Tc2AsCl relaxed with PBEsol.

a b c (Å): 2.9354 2.9354 7.8876
angles (deg): 79.28 79.28 60.00
Positions (direct):
Tc (0.7522, 0.7522, 0.7435)
Cl (0.0000, 0.0000, 0.0000)
As (0.5000, 0.5000, 0.5000)
Tc (0.2478, 0.2478, 0.2565)

Calculated values
ρ (g/cm3): 8.85



Arrangement D

DFT (meta-GGA SCAN) results for a crystal of Tc2AsCl relaxed with PBEsol.

a b c (Å): 2.8562 5.0206 5.0206
angles (deg): 64.57 73.47 73.47
Positions (direct):
As (0.5000, 0.0000, 0.0000)
Cl (0.0000, 0.5000, 0.5000)
Tc (0.7514, 0.2486, 0.2486)
Tc (0.2486, 0.7514, 0.7514)

Calculated values
ρ (g/cm3): 8.31



The winner here is arrangement C, beating the second structure by 233 meV/atom.



Arrangement A

DFT (meta-GGA SCAN) results for a crystal of TcAsCl relaxed with PBEsol.

a b c (Å): 4.3025 4.3025 4.3025
angles (deg): 60.00 60.00 60.00
Positions (direct):
Cl (0.2500, 0.2500, 0.2500)
Tc (0.0000, 0.0000, 0.0000)
As (0.5000, 0.5000, 0.5000)

Calculated values
ρ (g/cm3): 6.14



Arrangement B

DFT (meta-GGA SCAN) results for a crystal of TcAsCl relaxed with PBEsol.

a b c (Å): 3.0393 3.0393 7.1559
angles (deg): 90.00 90.00 120.00
Positions (direct):
As (0.0000, 0.0000, 0.0835)
Tc (0.6667, 0.3333, 0.3336)
Cl (0.3333, 0.6667, 0.5829)

Calculated values
ρ (g/cm3): 6.04



The winner here is arrangement B, beating the second structure by 1345 meV/atom.



Arrangement A

DFT (meta-GGA SCAN) results for a crystal of TeAsCl2 relaxed with PBEsol.

a b c (Å): 3.2359 3.2359 10.0975
angles (deg): 80.78 80.78 60.00
Positions (direct):
As (0.0000, 0.0000, 0.0000)
Cl (0.9218, 0.9218, 0.2347)
Te (0.5000, 0.5000, 0.5000)
Cl (0.0782, 0.0782, 0.7653)

Calculated values
ρ (g/cm3): 5.05



Arrangement B

DFT (meta-GGA SCAN) results for a crystal of TeAsCl2 relaxed with PBEsol.

a b c (Å): 4.3118 4.3118 5.3871
angles (deg): 113.59 113.59 90.00
Positions (direct):
Cl (0.7500, 0.2500, 0.5000)
Te (0.5000, 0.5000, 0.0000)
Cl (0.2500, 0.7500, 0.5000)
As (0.0000, 0.0000, 0.0000)

Calculated values
ρ (g/cm3): 5.50



The winner here is arrangement A, beating the second structure by 308 meV/atom.



Arrangement A

DFT (meta-GGA SCAN) results for a crystal of Te2AsCl relaxed with PBEsol.

a b c (Å): 3.1409 3.1409 10.2907
angles (deg): 90.00 90.00 90.00
Positions (direct):
As (0.0000, 0.0000, 0.5130)
Te (0.5000, 0.5000, 0.3143)
Cl (0.5000, 0.5000, 0.6789)
Te (0.0000, 0.0000, 0.9938)

Calculated values
ρ (g/cm3): 5.98



Arrangement B

DFT (meta-GGA SCAN) results for a crystal of Te2AsCl relaxed with PBEsol.

a b c (Å): 3.7088 3.8665 8.3373
angles (deg): 92.48 90.00 118.66
Positions (direct):
Te (0.3102, 0.6203, 0.2826)
As (0.0000, 0.0000, 0.5000)
Cl (0.5000, 0.0000, 0.0000)
Te (0.6898, 0.3797, 0.7174)

Calculated values
ρ (g/cm3): 5.79



The winner here is arrangement B, beating the second structure by 283 meV/atom.



Arrangement A

DFT (meta-GGA SCAN) results for a crystal of YAsCl2 relaxed with PBEsol.

a b c (Å): 3.4105 3.4105 10.0265
angles (deg): 80.21 80.21 60.00
Positions (direct):
Cl (0.7733, 0.7733, 0.6801)
Cl (0.2267, 0.2267, 0.3199)
Y (0.5000, 0.5000, 0.5000)
As (0.0000, 0.0000, 0.0000)

Calculated values
ρ (g/cm3): 3.94



Arrangement B

DFT (meta-GGA SCAN) results for a crystal of YAsCl2 relaxed with PBEsol.

a b c (Å): 4.3071 4.3071 5.3626
angles (deg): 113.68 113.68 90.00
Positions (direct):
As (0.0000, 0.0000, 0.0000)
Cl (0.7500, 0.2500, 0.5000)
Y (0.5000, 0.5000, 0.0000)
Cl (0.2500, 0.7500, 0.5000)

Calculated values
ρ (g/cm3): 4.76



Arrangement C

DFT (meta-GGA SCAN) results for a crystal of YAsCl2 relaxed with PBEsol.

a b c (Å): 3.7090 4.4952 6.6257
angles (deg): 96.84 106.25 90.00
Positions (direct):
Y (0.5000, 0.0000, 0.0000)
Cl (0.1578, 0.2094, 0.3157)
Cl (0.8422, 0.7906, 0.6843)
As (0.0000, 0.5000, 0.0000)

Calculated values
ρ (g/cm3): 3.70



Arrangement D

DFT (meta-GGA SCAN) results for a crystal of YAsCl2 relaxed with PBEsol.

a b c (Å): 3.8318 5.3300 6.0162
angles (deg): 102.22 90.00 111.07
Positions (direct):
Cl (0.1756, 0.3512, 0.6788)
Cl (0.9595, 0.9190, 0.0666)
Y (0.5386, 0.0773, 0.4025)
As (0.8263, 0.6525, 0.3520)

Calculated values
ρ (g/cm3): 3.49



The winner here is arrangement C, beating the second structure by 85 meV/atom.



Arrangement A

DFT (meta-GGA SCAN) results for a crystal of Zn2AsCl relaxed with PBEsol.

a b c (Å): 3.6427 3.5818 6.9144
angles (deg): 90.55 105.27 90.00
Positions (direct):
Zn (0.6717, 0.0021, 0.3434)
Zn (0.0125, 0.9952, 0.0251)
As (0.5359, 0.4967, 0.0717)
Cl (0.2799, 0.0060, 0.5598)

Calculated values
ρ (g/cm3): 4.60



Arrangement B

DFT (meta-GGA SCAN) results for a crystal of Zn2AsCl relaxed with PBEsol.

a b c (Å): 5.5773 5.5773 7.0658
angles (deg): 113.25 113.25 90.00
Positions (direct):
As (0.0000, 0.0000, 0.0000)
As (0.2500, 0.7500, 0.5000)
Zn (0.3410, 0.8750, 0.2500)
Cl (0.5000, 0.5000, 0.0000)
Zn (0.6250, 0.6590, 0.7500)
Cl (0.7500, 0.2500, 0.5000)
Zn (0.9090, 0.3750, 0.2500)
Zn (0.1250, 0.0910, 0.7500)

Calculated values
ρ (g/cm3): 4.39



The winner here is arrangement B, beating the second structure by 185 meV/atom.



Arrangement A

DFT (meta-GGA SCAN) results for a crystal of ZnAs2Cl relaxed with PBEsol.

a b c (Å): 3.0607 4.3638 6.1863
angles (deg): 110.65 104.32 90.00
Positions (direct):
As (0.2039, 0.2039, 0.4078)
Zn (0.5000, 0.0000, 0.0000)
As (0.7961, 0.7961, 0.5922)
Cl (0.0000, 0.5000, 0.0000)

Calculated values
ρ (g/cm3): 5.58



Arrangement B

DFT (meta-GGA SCAN) results for a crystal of ZnAs2Cl relaxed with PBEsol.

a b c (Å): 3.6016 3.6016 6.9276
angles (deg): 105.07 105.07 90.00
Positions (direct):
Cl (0.5000, 0.5000, 0.0000)
As (0.7500, 0.2500, 0.5000)
Zn (0.0000, 0.0000, 0.0000)
As (0.2500, 0.7500, 0.5000)

Calculated values
ρ (g/cm3): 4.98



Arrangement C

DFT (meta-GGA SCAN) results for a crystal of ZnAs2Cl relaxed with PBEsol.

a b c (Å): 2.9144 4.9618 4.9618
angles (deg): 90.00 90.00 90.00
Positions (direct):
Cl (0.5000, 0.5000, 0.5000)
As (0.0000, 0.0000, 0.5000)
Zn (0.5000, 0.0000, 0.0000)
As (0.0000, 0.5000, 0.0000)

Calculated values
ρ (g/cm3): 5.80



The winner here is arrangement A, beating the second structure by 69 meV/atom.



Arrangement A

DFT (meta-GGA SCAN) results for a crystal of CrCoAs2 relaxed with PBEsol.

a b c (Å): 3.0366 4.1504 4.4729
angles (deg): 102.15 109.84 90.00
Positions (direct):
As (0.2476, 0.6777, 0.4953)
As (0.0039, 0.0843, 0.0077)
Cr (0.7322, 0.1668, 0.4643)
Co (0.5163, 0.5712, 0.0327)

Calculated values
ρ (g/cm3): 8.38



Arrangement B

DFT (meta-GGA SCAN) results for a crystal of CrCoAs2 relaxed with PBEsol.

a b c (Å): 2.8995 4.4917 4.4996
angles (deg): 90.00 90.00 108.74
Positions (direct):
Cr (0.1754, 0.7262, 0.5000)
Co (0.5767, 0.5280, 0.0000)
As (0.2856, 0.9480, 0.0000)
As (0.4624, 0.2977, 0.5000)

Calculated values
ρ (g/cm3): 7.80



The winner here is arrangement A, beating the second structure by 65 meV/atom.



Arrangement A

DFT (meta-GGA SCAN) results for a crystal of Co2HgAs relaxed with PBEsol.

a b c (Å): 3.6753 3.6753 4.9257
angles (deg): 111.91 111.91 90.00
Positions (direct):
As (0.2500, 0.7500, 0.5000)
Co (0.7500, 0.2500, 0.5000)
Hg (0.5000, 0.5000, 0.0000)
Co (0.0000, 0.0000, 0.0000)

Calculated values
ρ (g/cm3): 11.56



Arrangement B

DFT (meta-GGA SCAN) results for a crystal of Co2HgAs relaxed with PBEsol.

a b c (Å): 2.7880 3.1296 7.0328
angles (deg): 90.00 90.00 90.00
Positions (direct):
As (0.5000, 0.5000, 0.8394)
Hg (0.0000, 0.0000, 0.4457)
Co (0.5000, 0.5000, 0.1933)
Co (0.0000, 0.0000, 0.0216)

Calculated values
ρ (g/cm3): 10.65



The winner here is arrangement B, beating the second structure by 278 meV/atom.



Arrangement A

DFT (meta-GGA SCAN) results for a crystal of CoAs2Ir relaxed with PBEsol.

a b c (Å): 2.9235 2.9235 7.6606
angles (deg): 79.00 79.00 60.00
Positions (direct):
As (0.7562, 0.7562, 0.7314)
Co (0.5000, 0.5000, 0.5000)
Ir (0.0000, 0.0000, 0.0000)
As (0.2438, 0.2438, 0.2686)

Calculated values
ρ (g/cm3): 12.04



Arrangement B

DFT (meta-GGA SCAN) results for a crystal of CoAs2Ir relaxed with PBEsol.

a b c (Å): 2.7683 2.7683 9.4130
angles (deg): 90.00 90.00 119.70
Positions (direct):
As (0.5000, 0.5000, 0.6954)
Ir (0.5000, 0.5000, 0.2681)
Co (0.0000, 0.0000, 0.4945)
As (0.0000, 0.0000, 0.0420)

Calculated values
ρ (g/cm3): 10.63



The winner here is arrangement A, beating the second structure by 146 meV/atom.